DFT (PBE) results for crystalline Ac2Au at its relaxed geometry.

The structure in CIF format:
```
data_Ac2Au
_chemical_formula_sum 'Ac4 Au2'
_space_group_name_H-M_alt 'P 1'
_space_group_IT_number 1
_space_group_name_Hall 'P 1'
_cell_length_a 9.614
_cell_length_b 9.614
_cell_length_c 9.614
_cell_angle_alpha 60.00
_cell_angle_beta 60.00
_cell_angle_gamma 60.00
loop_
_atom_site_label
_atom_site_type_symbol
_atom_site_fract_x
_atom_site_fract_y
_atom_site_fract_z
_atom_site_occupancy
Ac1 Ac 0.000 0.000 0.000 1
Ac2 Ac 0.000 0.000 0.500 1
Ac3 Ac 0.000 0.500 0.000 1
Ac4 Ac 0.500 0.000 0.000 1
Au1 Au 0.125 0.125 0.125 1
Au2 Au 0.875 0.875 0.875 1
```

## Properties
Its energy is -3.161 eV per atom.

---

DFT (PBE) results for crystalline AcAu2 at its relaxed geometry.

The structure in CIF format:
```
data_AcAu2
_chemical_formula_sum 'Ac2 Au4'
_space_group_name_H-M_alt 'P 1'
_space_group_IT_number 1
_space_group_name_Hall 'P 1'
_cell_length_a 9.667
_cell_length_b 9.667
_cell_length_c 9.667
_cell_angle_alpha 60.00
_cell_angle_beta 60.00
_cell_angle_gamma 60.00
loop_
_atom_site_label
_atom_site_type_symbol
_atom_site_fract_x
_atom_site_fract_y
_atom_site_fract_z
_atom_site_occupancy
Ac1 Ac 0.125 0.125 0.125 1
Ac2 Ac 0.875 0.875 0.875 1
Au1 Au 0.000 0.000 0.000 1
Au2 Au 0.000 0.000 0.500 1
Au3 Au 0.000 0.500 0.000 1
Au4 Au 0.500 0.000 0.000 1
```

## Properties
The distance to the lowest polymorph of the same formula is 1.283 eV per atom.

---

DFT (PBE) results for crystalline AcAu2 at its relaxed geometry.

The structure in CIF format:
```
data_AcAu2
_chemical_formula_sum 'Ac1 Au2'
_space_group_name_H-M_alt 'P 1'
_space_group_IT_number 1
_space_group_name_Hall 'P 1'
_cell_length_a 4.805
_cell_length_b 4.805
_cell_length_c 3.955
_cell_angle_alpha 90.00
_cell_angle_beta 90.00
_cell_angle_gamma 119.62
loop_
_atom_site_label
_atom_site_type_symbol
_atom_site_fract_x
_atom_site_fract_y
_atom_site_fract_z
_atom_site_occupancy
Ac1 Ac 0.000 0.000 0.000 1
Au1 Au 0.333 0.667 0.500 1
Au2 Au 0.667 0.333 0.500 1
```

## Properties
The distance to the lowest polymorph of the same formula is 0.000 eV per atom.

---

DFT (PBE) results for crystalline AcB4Au at its relaxed geometry.

The structure in CIF format:
```
data_AcB4Au
_chemical_formula_sum 'Ac1 B4 Au1'
_space_group_name_H-M_alt 'P 1'
_space_group_IT_number 1
_space_group_name_Hall 'P 1'
_cell_length_a 5.638
_cell_length_b 5.638
_cell_length_c 5.638
_cell_angle_alpha 146.77
_cell_angle_beta 122.56
_cell_angle_gamma 68.00
loop_
_atom_site_label
_atom_site_type_symbol
_atom_site_fract_x
_atom_site_fract_y
_atom_site_fract_z
_atom_site_occupancy
Ac1 Ac 0.000 0.000 0.000 1
B1 B 0.047 0.738 0.309 1
B2 B 0.429 0.738 0.691 1
B3 B 0.571 0.262 0.309 1
B4 B 0.953 0.262 0.691 1
Au1 Au 0.500 0.500 0.000 1
```

## Properties
The distance to the lowest polymorph of the same formula is 0.000 eV per atom.

---

DFT (PBE) results for crystalline AcB4Au at its relaxed geometry.

The structure in CIF format:
```
data_AcB4Au
_chemical_formula_sum 'Ac1 B4 Au1'
_space_group_name_H-M_alt 'P 1'
_space_group_IT_number 1
_space_group_name_Hall 'P 1'
_cell_length_a 3.314
_cell_length_b 3.314
_cell_length_c 7.784
_cell_angle_alpha 90.00
_cell_angle_beta 90.00
_cell_angle_gamma 120.00
loop_
_atom_site_label
_atom_site_type_symbol
_atom_site_fract_x
_atom_site_fract_y
_atom_site_fract_z
_atom_site_occupancy
Ac1 Ac 0.000 0.000 0.000 1
B1 B 0.333 0.667 0.281 1
B2 B 0.333 0.667 0.719 1
B3 B 0.667 0.333 0.281 1
B4 B 0.667 0.333 0.719 1
Au1 Au 0.000 0.000 0.500 1
```

## Properties
The distance to the lowest polymorph of the same formula is 0.147 eV per atom.

---

DFT (PBE) results for crystalline AcBi2Au9 at its relaxed geometry.

The structure in CIF format:
```
data_AcBi2Au9
_chemical_formula_sum 'Ac1 Bi2 Au9'
_space_group_name_H-M_alt 'P 1'
_space_group_IT_number 1
_space_group_name_Hall 'P 1'
_cell_length_a 9.976
_cell_length_b 9.976
_cell_length_c 9.976
_cell_angle_alpha 33.26
_cell_angle_beta 33.26
_cell_angle_gamma 33.26
loop_
_atom_site_label
_atom_site_type_symbol
_atom_site_fract_x
_atom_site_fract_y
_atom_site_fract_z
_atom_site_occupancy
Ac1 Ac 0.000 0.000 0.000 1
Bi1 Bi 0.148 0.148 0.148 1
Bi2 Bi 0.852 0.852 0.852 1
Au1 Au 0.081 0.584 0.584 1
Au2 Au 0.333 0.333 0.333 1
Au3 Au 0.416 0.416 0.919 1
Au4 Au 0.416 0.919 0.416 1
Au5 Au 0.500 0.500 0.500 1
Au6 Au 0.584 0.081 0.584 1
Au7 Au 0.584 0.584 0.081 1
Au8 Au 0.667 0.667 0.667 1
Au9 Au 0.919 0.416 0.416 1
```

## Properties
Its energy is -3.752 eV per atom.